Entry from Alexandria: SrVSiO2 after structural relaxation (GGA+U).

The total DFT energy (no corrections) is -25.4 eV for the cell shown. For the density of states at the Fermi level, the calculation gives 3.44 states/eV/f.u. As for the space-group type: P4/mmm.

Structure (POSCAR):
```
SrVSiO2
1.0
3.9471 0.0000 0.0000
0.0000 3.9471 0.0000
0.0000 0.0000 6.4793
Sr V Si O
1 1 1 2
Cartesian
0.0000 0.0000 0.0000
0.0000 0.0000 3.2396
1.9736 1.9736 0.0000
0.0000 1.9736 3.2396
1.9736 0.0000 3.2396
```